A relaxed structure of SrPrOsO6, computed with PBE.

a b c (Å): 5.778 5.778 10.022
angles (deg): 90.00 90.00 120.00
Fractional positions:
Sr (0.000, 0.000, 0.000)
Sr (0.000, 0.000, 0.500)
Pr (0.333, 0.667, 0.250)
Pr (0.667, 0.333, 0.750)
Os (0.333, 0.667, 0.750)
Os (0.667, 0.333, 0.250)
O (0.060, 0.394, 0.642)
O (0.060, 0.665, 0.858)
O (0.335, 0.394, 0.858)
O (0.335, 0.940, 0.642)
O (0.394, 0.060, 0.142)
O (0.394, 0.335, 0.358)
O (0.606, 0.665, 0.642)
O (0.606, 0.940, 0.858)
O (0.665, 0.060, 0.358)
O (0.665, 0.606, 0.142)
O (0.940, 0.335, 0.142)
O (0.940, 0.606, 0.358)

Output
The calculation puts the calculated density at 5899 kg/m³. Its uncorrected formation energy is -18.61 eV/f.u. The final energy is -132.11 eV per cell.


A relaxed structure of Sr2PrOsO8, computed with PBE.

a b c (Å): 4.915 7.113 5.342
angles (deg): 90.00 92.42 90.00
Fractional positions:
Sr (0.000, 0.237, 0.000)
Sr (0.000, 0.763, 0.000)
Pr (0.500, 0.500, 0.500)
Os (0.500, 0.000, 0.500)
O (0.069, 0.500, 0.284)
O (0.168, 0.000, 0.327)
O (0.391, 0.196, 0.716)
O (0.391, 0.804, 0.716)
O (0.609, 0.196, 0.284)
O (0.609, 0.804, 0.284)
O (0.832, 0.000, 0.673)
O (0.931, 0.500, 0.716)

Output
The calculation puts the calculated density at 5646 kg/m³. Its uncorrected formation energy is -22.99 eV/f.u. The final energy is -82.03 eV per cell.


A relaxed structure of PrTlOsO6, computed with PBE.

a b c (Å): 5.843 5.843 5.537
angles (deg): 90.00 90.00 120.00
Fractional positions:
Pr (0.000, 0.000, 0.000)
Tl (0.667, 0.333, 0.500)
Os (0.333, 0.667, 0.000)
O (0.081, 0.394, 0.196)
O (0.081, 0.687, 0.804)
O (0.313, 0.394, 0.804)
O (0.313, 0.919, 0.196)
O (0.606, 0.687, 0.196)
O (0.606, 0.919, 0.804)

Output
The calculation puts the calculated density at 6406 kg/m³. Its uncorrected formation energy is -13.58 eV/f.u. The final energy is -61.70 eV per cell.


A relaxed structure of PrTl2OsO6, computed with PBE.

a b c (Å): 6.423 6.423 6.046
angles (deg): 90.00 90.00 120.00
Fractional positions:
Pr (0.000, 0.000, 0.000)
Tl (0.333, 0.667, 0.463)
Tl (0.667, 0.333, 0.537)
Os (0.000, 0.000, 0.500)
O (0.138, 0.276, 0.691)
O (0.138, 0.862, 0.691)
O (0.276, 0.138, 0.309)
O (0.724, 0.862, 0.691)
O (0.862, 0.138, 0.309)
O (0.862, 0.724, 0.309)

Output
The calculation puts the calculated density at 6427 kg/m³. Its uncorrected formation energy is -13.64 eV/f.u. The final energy is -64.13 eV per cell.


A relaxed structure of Pr2TlOsO8, computed with PBE.

a b c (Å): 4.810 4.930 7.541
angles (deg): 91.99 92.07 93.98
Fractional positions:
Pr (0.065, 0.051, 0.258)
Pr (0.935, 0.949, 0.742)
Tl (0.500, 0.500, 0.000)
Os (0.500, 0.500, 0.500)
O (0.197, 0.197, 0.976)
O (0.218, 0.240, 0.546)
O (0.274, 0.628, 0.306)
O (0.371, 0.742, 0.683)
O (0.629, 0.258, 0.317)
O (0.726, 0.372, 0.694)
O (0.782, 0.760, 0.454)
O (0.803, 0.803, 0.024)

Output
The calculation puts the calculated density at 7498 kg/m³. Its uncorrected formation energy is -22.32 eV/f.u. The final energy is -85.14 eV per cell.


A relaxed structure of PrTlOs2O8, computed with PBE.

a b c (Å): 6.145 6.145 7.900
angles (deg): 90.00 90.00 120.00
Fractional positions:
Pr (0.000, 0.000, 0.000)
Tl (0.000, 0.000, 0.500)
Os (0.333, 0.667, 0.271)
Os (0.667, 0.333, 0.729)
O (0.171, 0.346, 0.189)
O (0.175, 0.829, 0.189)
O (0.333, 0.667, 0.494)
O (0.346, 0.175, 0.811)
O (0.654, 0.825, 0.189)
O (0.667, 0.333, 0.506)
O (0.825, 0.171, 0.811)
O (0.829, 0.654, 0.811)

Output
The calculation puts the calculated density at 5488 kg/m³. Its uncorrected formation energy is -16.13 eV/f.u. The final energy is -85.41 eV per cell.


A relaxed structure of Pr2Tl2OsO6, computed with PBE.

a b c (Å): 6.067 6.067 7.199
angles (deg): 91.31 91.31 120.63
Fractional positions:
Pr (0.164, 0.836, 0.000)
Pr (0.836, 0.164, 0.000)
Tl (0.350, 0.650, 0.500)
Tl (0.650, 0.350, 0.500)
Os (0.500, 0.500, 0.000)
O (0.207, 0.496, 0.854)
O (0.222, 0.222, 0.146)
O (0.496, 0.207, 0.854)
O (0.504, 0.793, 0.146)
O (0.778, 0.778, 0.854)
O (0.793, 0.504, 0.146)

Output
The calculation puts the calculated density at 7121 kg/m³. Its uncorrected formation energy is -19.07 eV/f.u. The final energy is -74.34 eV per cell.


A relaxed structure of OsPtO2, computed with PBE.

a b c (Å): 7.058 7.058 7.058
angles (deg): 147.92 147.92 46.01
Fractional positions:
Os (0.000, 0.000, 0.000)
Os (0.750, 0.250, 0.500)
Pt (0.250, 0.750, 0.500)
Pt (0.500, 0.500, 0.000)
O (0.076, 0.625, 0.951)
O (0.375, 0.326, 0.451)
O (0.674, 0.125, 0.049)
O (0.875, 0.924, 0.549)

Output
The calculation puts the calculated density at 14018 kg/m³. Its uncorrected formation energy is 0.88 eV/f.u. Its relative energy among the computed polymorphs is 465 meV/atom. The final energy is -52.60 eV per cell.


A relaxed structure of Os2PtO, computed with PBE.

a b c (Å): 7.413 7.413 7.413
angles (deg): 145.70 145.70 49.29
Fractional positions:
Os (0.003, 0.625, 0.878)
Os (0.375, 0.253, 0.378)
Os (0.747, 0.125, 0.122)
Os (0.875, 0.997, 0.622)
Pt (0.250, 0.750, 0.500)
Pt (0.500, 0.500, 0.000)
O (0.000, 0.000, 0.000)
O (0.750, 0.250, 0.500)

Output
The calculation puts the calculated density at 15260 kg/m³. Its uncorrected formation energy is 2.84 eV/f.u. The final energy is -61.23 eV per cell.


A relaxed structure of OsPt3O, computed with PBE.

a b c (Å): 4.210 4.210 4.210
angles (deg): 90.00 90.00 90.00
Fractional positions:
Os (0.000, 0.000, 0.000)
Pt (0.000, 0.500, 0.500)
Pt (0.500, 0.000, 0.500)
Pt (0.500, 0.500, 0.000)
O (0.500, 0.500, 0.500)

Output
The calculation puts the calculated density at 17611 kg/m³. Its uncorrected formation energy is 4.87 eV/f.u. Its relative energy among the computed polymorphs is 0 meV/atom. The final energy is -29.44 eV per cell.


A relaxed structure of OsPtO6, computed with PBE.

a b c (Å): 5.303 5.303 4.817
angles (deg): 95.50 95.50 125.32
Fractional positions:
Os (0.000, 0.000, 0.000)
Pt (0.500, 0.500, 0.500)
O (0.087, 0.351, 0.256)
O (0.275, 0.275, 0.787)
O (0.351, 0.087, 0.256)
O (0.649, 0.913, 0.744)
O (0.725, 0.725, 0.213)
O (0.913, 0.649, 0.744)

Output
The calculation puts the calculated density at 7395 kg/m³. Its uncorrected formation energy is -3.56 eV/f.u. The final energy is -50.58 eV per cell.


A relaxed structure of OsPtO2, computed with PBE.

a b c (Å): 3.988 3.988 3.988
angles (deg): 60.00 60.00 60.00
Fractional positions:
Os (0.000, 0.000, 0.000)
Pt (0.500, 0.500, 0.500)
O (0.250, 0.250, 0.250)
O (0.750, 0.750, 0.750)

Output
The calculation puts the calculated density at 15446 kg/m³. Its uncorrected formation energy is 3.73 eV/f.u. Its relative energy among the computed polymorphs is 1176 meV/atom. The final energy is -23.46 eV per cell.